#a
{
  "formula": "TaZn2Cl",
  "functional": "PBE-GGA",
  "state": "relaxed",
  "dos_at_fermi_per_ev_atom": 0.527,
  "cell": [[2.909, 0.000, 0.000], [0.000, 4.983, 0.000], [-0.011, 0.000, 4.866]],
  "species": ["Ta", "Zn", "Zn", "Cl"],
  "frac_coords": [[0.000, 0.000, 0.000], [0.500, 0.500, 0.241], [0.500, 0.500, 0.759], [0.000, 0.000, 0.500]]
}


#b
{
  "formula": "TaZn2Cl",
  "functional": "PBE-GGA",
  "state": "relaxed",
  "dos_at_fermi_per_ev_atom": 0.586,
  "cell": [[2.957, 0.000, 0.000], [0.000, 2.957, 0.000], [0.000, 0.000, 8.686]],
  "species": ["Ta", "Zn", "Zn", "Cl"],
  "frac_coords": [[0.000, 0.000, 0.000], [0.000, 0.000, 0.407], [0.500, 0.500, 0.217], [0.500, 0.500, 0.810]]
}


Preferred: #b; penalty for the next structure: 0.260 eV/atom.